Entry 1:
Here is Ce2HoSi2Pd2 after structural relaxation from Alexandria. Energies are from GGA-PBE.

Values from the calculation:
Its energy relative to the elements, uncorrected is -796 meV/atom.

a = 9.2420 Å, b = 9.2420 Å, c = 9.2420 Å
α = 26.84°, β = 26.84°, γ = 26.84°
With the nearest neighbours (Å) after each atom.
Fractional positions:
Ce  0.1383  0.1383  0.1383  3 Ce 2.90, 3 Si 3.04, 3 Pd 3.10
Ce  0.8617  0.8617  0.8617  3 Ce 2.90, 3 Si 3.04, 3 Pd 3.10
Ho  0.0000  0.0000  0.0000  6 Pd 3.08, 6 Si 3.14
Si  0.2610  0.2610  0.2610  3 Pd 2.48
Si  0.7390  0.7390  0.7390  3 Pd 2.48
Pd  0.4017  0.4017  0.4017  3 Si 2.48
Pd  0.5983  0.5983  0.5983  3 Si 2.48

---

Entry 2:
Here is NiAg4Os after structural relaxation from Alexandria. Energies are from GGA-PBE.

Values from the calculation:
Its energy of formation is 5.73 eV/f.u.

a = 5.2879 Å, b = 5.2879 Å, c = 5.2879 Å
α = 60.00°, β = 60.00°, γ = 60.00°
With the nearest neighbours (Å) after each atom.
Fractional positions:
Ni  0.0000  0.0000  0.0000  12 Ag 3.10, 4 Os 3.24
Ag  0.3750  0.3750  0.3750  6 Ag 2.64
Ag  0.3750  0.3750  0.8750  6 Ag 2.64
Ag  0.3750  0.8750  0.3750  6 Ag 2.64
Ag  0.8750  0.3750  0.3750  6 Ag 2.64
Os  0.7500  0.7500  0.7500  12 Ag 3.10, 4 Ni 3.24

---

Entry 3:
Here is GeBSb2Te after structural relaxation from Alexandria. Energies are from GGA-PBE.

Values from the calculation:
As for the energy relative to the lowest polymorph listed for this composition: 3.647 eV/f.u. Its energy relative to the elements, uncorrected is 1481 meV/atom.

a = 5.3440 Å, b = 5.3440 Å, c = 5.4048 Å
α = 90.00°, β = 90.00°, γ = 90.00°
With the nearest neighbours (Å) after each atom.
Fractional positions:
Ge  0.0000  0.0000  0.0000  4 Sb 2.67, 2 Te 2.70
B  0.5000  0.5000  0.5000  4 Te 3.78, 8 Sb 3.80
Sb  0.0000  0.5000  0.0000  2 Ge 2.67
Sb  0.5000  0.0000  0.0000  2 Ge 2.67
Te  0.0000  0.0000  0.5000  2 Ge 2.70

---

Entry 4:
Here is Ce4Re6O19 after structural relaxation from Alexandria. Energies are from GGA-PBE.

Values from the calculation:
Its energy relative to the elements, uncorrected is -2155 meV/atom.

a = 7.8777 Å, b = 7.8777 Å, c = 7.8777 Å
α = 109.47°, β = 109.47°, γ = 109.47°
With the nearest neighbours (Å) after each atom.
Fractional positions:
Ce  0.0000  0.0000  0.3066  7 O 2.41-2.47
Ce  0.0000  0.3066  0.0000  7 O 2.41-2.47
Ce  0.3066  0.0000  0.0000  7 O 2.41-2.47
Ce  0.6934  0.6934  0.6934  7 O 2.41-2.47
Re  0.1334  0.5000  0.6334  6 O 1.99-2.06
Re  0.3666  0.8666  0.5000  6 O 1.99-2.06
Re  0.5000  0.3666  0.8666  6 O 1.99-2.06
Re  0.5000  0.6334  0.1334  6 O 1.99-2.06
Re  0.6334  0.1334  0.5000  6 O 1.99-2.06
Re  0.8666  0.5000  0.3666  6 O 1.99-2.06
O  0.0000  0.0000  0.0000  4 Ce 2.41
O  0.0000  0.3170  0.3170  2 Re 2.06
O  0.0000  0.6830  0.6830  2 Re 2.06
O  0.0577  0.7208  0.3424  2 Re 1.99-2.00
O  0.2792  0.3369  0.6216  2 Re 1.99-2.00
O  0.2847  0.6631  0.9423  2 Re 1.99-2.00
O  0.3170  0.0000  0.3170  2 Re 2.06
O  0.3170  0.3170  0.0000  2 Re 2.06
O  0.3369  0.6216  0.2792  2 Re 1.99-2.00
O  0.3424  0.0577  0.7208  2 Re 1.99-2.00
O  0.3784  0.7153  0.6576  2 Re 1.99-2.00
O  0.6216  0.2792  0.3369  2 Re 1.99-2.00
O  0.6576  0.3784  0.7153  2 Re 1.99-2.00
O  0.6631  0.9423  0.2847  2 Re 1.99-2.00
O  0.6830  0.0000  0.6830  2 Re 2.06
O  0.6830  0.6830  0.0000  2 Re 2.06
O  0.7153  0.6576  0.3784  2 Re 1.99-2.00
O  0.7208  0.3424  0.0577  2 Re 1.99-2.00
O  0.9423  0.2847  0.6631  2 Re 1.99-2.00

---

Entry 5:
Here is NaSbP2O after structural relaxation from Alexandria. Energies are from GGA-PBE.

Values from the calculation:
As for the energy relative to the lowest polymorph listed for this composition: 3.639 eV/f.u. Its energy relative to the elements, uncorrected is 929 meV/atom.

a = 4.9691 Å, b = 4.9691 Å, c = 3.9903 Å
α = 90.00°, β = 90.00°, γ = 90.00°
With the nearest neighbours (Å) after each atom.
Fractional positions:
Na  0.0000  0.0000  0.0000  2 O 2.00
Sb  0.5000  0.5000  0.5000  8 P 3.19, 4 O 3.51
P  0.0000  0.5000  0.0000  2 Na 2.48
P  0.5000  0.0000  0.0000  2 Na 2.48
O  0.0000  0.0000  0.5000  2 Na 2.00

---

Entry 6:
Here is FeSbTe2As after structural relaxation from Alexandria. Energies are from GGA-PBE.

Values from the calculation:
As for the energy relative to the lowest polymorph listed for this composition: 2.400 eV/f.u. Its energy relative to the elements, uncorrected is 1038 meV/atom.

a = 5.4883 Å, b = 5.4883 Å, c = 5.1986 Å
α = 90.00°, β = 90.00°, γ = 90.00°
With the nearest neighbours (Å) after each atom.
Fractional positions:
Fe  0.0000  0.0000  0.0000  8 Te 3.78, 4 Sb 3.88
Sb  0.5000  0.5000  0.0000  2 As 2.60
Te  0.0000  0.5000  0.5000  2 As 2.74
Te  0.5000  0.0000  0.5000  2 As 2.74
As  0.5000  0.5000  0.5000  2 Sb 2.60, 4 Te 2.74

---

Entry 7:
Here is ZrGaBi after structural relaxation from Alexandria. Energies are from GGA-PBE.

Values from the calculation:
As for the energy relative to the lowest polymorph listed for this composition: 0.053 eV/f.u. Its energy of formation is -0.91 eV/f.u.

a = 5.8573 Å, b = 5.8573 Å, c = 6.0162 Å
α = 98.26°, β = 98.26°, γ = 43.33°
With the nearest neighbours (Å) after each atom.
Fractional positions:
Zr  0.0964  0.0964  0.2635  4 Ga 2.79-2.87, 1 Bi 3.12
Zr  0.9036  0.9036  0.7365  4 Ga 2.79-2.87, 1 Bi 3.12
Ga  0.5000  0.5000  0.0000  4 Zr 2.79, 2 Ga 3.01
Ga  0.5000  0.5000  0.5000  4 Zr 2.87, 2 Ga 3.01
Bi  0.1953  0.1953  0.7781  5 Zr 3.12-3.26, 5 Ga 3.30-3.44
Bi  0.8047  0.8047  0.2219  5 Zr 3.12-3.26, 5 Ga 3.30-3.44

---

Entry 8:
Here is KThAsO6 after structural relaxation from Alexandria. Energies are from GGA-PBE.

Values from the calculation:
Its energy relative to the elements, uncorrected is -1738 meV/atom.

a = 5.6179 Å, b = 5.6179 Å, c = 5.8996 Å
α = 90.00°, β = 90.00°, γ = 120.00°
With the nearest neighbours (Å) after each atom.
Fractional positions:
K  0.0000  0.0000  0.0000  6 O 2.84
Th  0.3333  0.6667  0.5000  6 O 2.29
As  0.6667  0.3333  0.5000  6 O 1.86
O  0.4059  0.0569  0.6841  1 As 1.86
O  0.4059  0.3491  0.3159  1 As 1.86
O  0.6509  0.0569  0.3159  1 As 1.86
O  0.6509  0.5941  0.6841  1 As 1.86
O  0.9431  0.3491  0.6841  1 As 1.86
O  0.9431  0.5941  0.3159  1 As 1.86

---

Total magnetization values, unit μB per formula unit, following the record order: 1.0 2.6 0.0 3.6 1.2 3.4 0.0 2.0.